The following is a DFT calculation (GGA-PBE) of crystalline CuAg2W at its relaxed geometry.

Calculated values
Space-group type: C2/m
M_tot (μB/f.u.): 0.0
Calculated total energy (eV/atom): -5.115

Cell lengths 4.9681, 4.9681, 4.9638 Å; angles 81.76, 81.76, 31.68 degrees
Fractional coordinates of all 4 atoms:
W 0.2500 0.2500 0.2500
Cu 0.7500 0.7500 0.7500
Ag 0.4975 0.4975 0.5020
Ag 0.0025 0.0025 0.9980


The following is a DFT calculation (GGA-PBE) of crystalline CuAgW2 at its relaxed geometry.

Calculated values
Space-group type: Pm
M_tot (μB/f.u.): 0.0
Calculated total energy (eV/atom): -7.757

Cell lengths 4.3269, 2.6586, 5.4895 Å; angles 81.68, 90.00, 90.00 degrees
Fractional coordinates of all 4 atoms:
W 0.5000 0.2462 0.2408
W 0.0000 0.0073 0.9906
Cu 0.5000 0.5955 0.7608
Ag 0.0000 0.6510 0.5078


The following is a DFT calculation (GGA-PBE) of crystalline CuAgW2 at its relaxed geometry.

Calculated values
Space-group type: Immm
M_tot (μB/f.u.): 0.0
Calculated total energy (eV/atom): -7.669

Cell lengths 5.2875, 5.2875, 5.2875 Å; angles 144.26, 133.52, 59.98 degrees
Fractional coordinates of all 4 atoms:
Ag 0.7500 0.2500 0.5000
Cu 0.2500 0.7500 0.5000
W 0.4912 0.4912 0.0000
W 0.0088 0.0088 0.0000


The following is a DFT calculation (GGA-PBE) of crystalline CuAgW2 at its relaxed geometry.

Calculated values
Space-group type: Cmm2
M_tot (μB/f.u.): 0.0
Calculated total energy (eV/atom): -7.912

Cell lengths 2.7152, 2.7152, 8.9765 Å; angles 90.00, 90.00, 108.23 degrees
Fractional coordinates of all 4 atoms:
W 0.0000 0.0000 0.9907
W 0.5000 0.5000 0.2402
Ag 0.0000 0.0000 0.5123
Cu 0.5000 0.5000 0.7568


The following is a DFT calculation (GGA-PBE) of crystalline CuAg2W at its relaxed geometry.

Calculated values
Space-group type: P4/mmm
M_tot (μB/f.u.): 0.0
Calculated total energy (eV/atom): -4.983

Cell lengths 4.9263, 4.9263, 2.7099 Å; angles 90.00, 90.00, 90.00 degrees
Fractional coordinates of all 4 atoms:
Cu 0.5000 0.0000 0.5000
Ag 0.5000 0.5000 0.0000
Ag 0.0000 0.0000 0.0000
W 0.0000 0.5000 0.5000


The following is a DFT calculation (GGA-PBE) of crystalline CuAg2W at its relaxed geometry.

Calculated values
Space-group type: Pm
M_tot (μB/f.u.): 0.0
Calculated total energy (eV/atom): -5.187

Cell lengths 4.2325, 2.6681, 5.8355 Å; angles 76.92, 90.00, 90.00 degrees
Fractional coordinates of all 4 atoms:
Ag 0.5000 0.4421 0.2491
Ag 0.0000 0.0659 0.9986
Cu 0.0000 0.2899 0.5338
W 0.5000 0.7021 0.7186


The following is a DFT calculation (GGA-PBE) of crystalline CuAgW2 at its relaxed geometry.

Calculated values
Space-group type: Pmm2
M_tot (μB/f.u.): 0.0
Calculated total energy (eV/atom): -7.746

Cell lengths 2.6782, 4.0870, 5.7300 Å; angles 90.00, 90.00, 90.00 degrees
Fractional coordinates of all 4 atoms:
Ag 0.0000 0.0000 0.5168
W 0.5000 0.5000 0.2361
W 0.0000 0.0000 0.9990
Cu 0.5000 0.5000 0.7480


The following is a DFT calculation (GGA-PBE) of crystalline Cu2AgW at its relaxed geometry.

Calculated values
Space-group type: Imm2
M_tot (μB/f.u.): 0.0
Calculated total energy (eV/atom): -5.511

Cell lengths 5.4213, 5.4213, 5.4213 Å; angles 151.51, 129.40, 59.09 degrees
Fractional coordinates of all 4 atoms:
Cu 0.7609 0.2609 0.5000
Cu 0.9834 0.9834 0.0000
W 0.5173 0.5173 0.0000
Ag 0.2384 0.7384 0.5000


The following is a DFT calculation (GGA-PBE) of crystalline CuAgW2 at its relaxed geometry.

Calculated values
Space-group type: P4mm
M_tot (μB/f.u.): 0.0
Calculated total energy (eV/atom): -7.816

Cell lengths 2.6997, 2.6997, 8.5342 Å; angles 90.00, 90.00, 90.00 degrees
Fractional coordinates of all 4 atoms:
Cu 0.5000 0.5000 0.7548
Ag 0.0000 0.0000 0.5151
W 0.0000 0.0000 0.9815
W 0.5000 0.5000 0.2485


The following is a DFT calculation (GGA-PBE) of crystalline CuAg2W at its relaxed geometry.

Calculated values
Space-group type: P2/m
M_tot (μB/f.u.): 0.0
Calculated total energy (eV/atom): -5.107

Cell lengths 4.5761, 2.6561, 5.2928 Å; angles 81.53, 90.00, 90.00 degrees
Fractional coordinates of all 4 atoms:
W 0.5000 0.7500 0.7500
Cu 0.5000 0.2500 0.2500
Ag 0.0000 0.4133 0.4944
Ag 0.0000 0.0867 0.0056


The following is a DFT calculation (GGA-PBE) of crystalline CuAgW at its relaxed geometry.

Calculated values
Space-group type: F-43m
M_tot (μB/f.u.): 0.0
Calculated total energy (eV/atom): -5.548

Cell lengths 4.1457, 4.1457, 4.1457 Å; angles 60.00, 60.00, 60.00 degrees
Fractional coordinates of all 3 atoms:
Cu 0.2500 0.2500 0.2500
Ag 0.5000 0.5000 0.5000
W 0.0000 0.0000 0.0000


The following is a DFT calculation (GGA-PBE) of crystalline CuAg2W at its relaxed geometry.

Calculated values
Space-group type: Imm2
M_tot (μB/f.u.): 0.0
Calculated total energy (eV/atom): -5.062

Cell lengths 5.6393, 5.6393, 5.6393 Å; angles 152.17, 128.35, 59.69 degrees
Fractional coordinates of all 4 atoms:
Ag 0.0022 0.0022 0.0000
Ag 0.7328 0.2328 0.5000
Cu 0.4960 0.4960 0.0000
W 0.2690 0.7690 0.5000


no.,Fermi-level density of states (states/eV/cell)
1,2.678
2,1.943
3,2.872
4,2.322
5,2.692
6,0.897
7,1.845
8,3.266
9,2.883
10,2.378
11,0.384
12,3.180